No. 1
Rb2YAg2Cl6 | PBE-GGA | optimized geometry

The structure in extended XYZ format:
```
11
Lattice="-6.1752 -4.7607 1.0014 6.9972 -2.2494 1.5983 -3.3972 5.5567 5.4680" Properties=species:S:1:pos:R:3 pbc="T T T"
Rb -1.9624 -3.4703 2.2577
Rb -0.6128 2.0169 5.8101
Y -4.7862 0.3980 3.2347
Ag -2.3726 -1.9767 6.8292
Ag -0.2026 0.5233 1.2386
Cl -3.2229 -1.3772 4.4356
Cl 4.0226 -1.6051 2.8888
Cl -3.7388 2.3559 4.7153
Cl -6.5978 0.1518 5.1789
Cl 1.1636 -3.8092 3.3524
Cl 0.6477 -0.0761 3.6321
```

Summary:
ΔE_f (raw): -1485 meV per atom
SG: No. 12
Calculated volume: 370 Å³ per cell
DOS(E_F): 0.179 states/eV/atom
E_tot: -41.5 eV per formula unit

No. 2
RbYAgCl6 | PBE-GGA | optimized geometry

The structure in extended XYZ format:
```
9
Lattice="-4.4145 1.3449 -5.5754 -2.8056 -4.9800 -3.6755 -6.0656 -0.0119 4.1523" Properties=species:S:1:pos:R:3 pbc="T T T"
Rb -2.7896 -4.8255 -3.6503
Y -7.8315 -2.2913 -4.0696
Ag -5.4375 -1.2086 -1.0051
Cl -6.9702 -0.5828 -5.7872
Cl -5.9739 0.4331 0.8020
Cl -8.3798 -1.0440 -1.8889
Cl -10.3080 -1.8201 -5.0657
Cl -5.3449 -2.6620 -3.0575
Cl -4.5204 0.7571 -2.2464
```

Summary:
ΔE_f (raw): -1572 meV per atom
SG: No. 5
Calculated volume: 305 Å³ per cell
DOS(E_F): 0.098 states/eV/atom
E_tot: -35.5 eV per formula unit

No. 3
RbYAg2Cl8 | PBE-GGA | optimized geometry

The structure in extended XYZ format:
```
12
Lattice="6.7563 0.0000 0.0000 0.0000 6.7563 0.0000 -3.3782 -3.3782 7.4579" Properties=species:S:1:pos:R:3 pbc="T T T"
Rb 3.3782 0.0000 3.7289
Y 0.0000 0.0000 0.0000
Ag 3.3782 3.3782 0.0000
Ag 0.0000 3.3782 3.7289
Cl 4.5624 5.3649 0.8666
Cl 2.1939 1.3914 0.8666
Cl 1.9450 2.5146 5.1461
Cl -1.9450 4.2417 5.1461
Cl -0.8635 1.4332 2.3118
Cl 0.8635 5.3232 2.3118
Cl -1.9868 1.1843 6.5913
Cl 1.9868 -1.1843 6.5913
```

Summary:
ΔE_f (raw): -1157 meV per atom
SG: No. 82
Calculated volume: 340 Å³ per cell
DOS(E_F): 1.102 states/eV/atom
E_tot: -41.8 eV per formula unit

No. 4
RbZn2Ag2Cl7 | PBE-GGA | optimized geometry

The structure in extended XYZ format:
```
12
Lattice="7.0833 0.0000 0.0000 3.5416 6.1343 0.0000 3.5416 2.0448 10.6192" Properties=species:S:1:pos:R:3 pbc="T T T"
Rb 7.0833 4.0895 5.3096
Zn 10.6249 6.1343 2.3124
Zn 3.5416 2.0448 8.3068
Ag 10.6249 6.1343 7.8182
Ag 3.5416 2.0448 2.8010
Cl 5.7108 6.0762 3.0297
Cl 6.0490 1.9076 3.0297
Cl 9.4900 4.2848 3.0297
Cl 5.7108 2.1029 7.5896
Cl 9.4900 3.8943 7.5896
Cl 0.0000 0.0000 0.0000
Cl 6.0490 6.2715 7.5896
```

Summary:
ΔE_f (raw): -1031 meV per atom
SG: No. 155
Calculated volume: 461 Å³ per cell
DOS(E_F): 0.000 states/eV/atom
E_tot: -34.5 eV per formula unit